Compound: K12Na5Cd2
Source: the Alexandria database
Functional: GGA-PBE
Structure: optimized geometry

The structure belongs to space group C2/m (No. 12); the cell edges are 15.767, 13.025 and 10.338 Å and the angles 90.00°, 103.04° and 90.00°. The distinct sites, in fractional coordinates, are K at (0.098, 0.000, 0.229), K at (0.107, 0.233, 0.872), K at (0.107, 0.500, 0.649), K at (0.169, 0.319, 0.327), Na at (0.000, 0.500, 0.000), Na at (0.111, 0.000, 0.606), Na at (0.234, 0.500, 0.037) and Cd at (0.000, 0.217, 0.500).

As for the total magnetic moment: 0.00 μB per atom. The calculation puts the density of states at the Fermi level at 23.9 states/eV per cell. The raw total energy comes out at -1.129 eV/atom.